Computed, not measured: a geometry-optimized LaFe3Te structure at the PBE-GGA level of DFT.

Output
E above lowest polymorph in meV/atom: 882
Energy relative to the elements, uncorrected in kJ/mol of formula units: 718

abc: 4.7294 4.7294 4.7294
angles: 90.00 90.00 90.00
Fractional positions:
Te1 0.5000 0.5000 0.5000
Fe1 0.0000 0.5000 0.0000
Fe2 0.0000 0.0000 0.5000
Fe3 0.5000 0.0000 0.0000
La1 0.0000 0.0000 0.0000

***

Computed, not measured: a geometry-optimized La2CuRe structure at the PBE-GGA level of DFT.

Output
E above lowest polymorph in meV/atom: 76

abc: 5.9668 5.9668 5.9668
angles: 143.91 131.61 61.83
Fractional positions:
Cu1 0.2984 0.7984 0.5000
La1 0.0200 0.0200 0.0000
La2 0.7183 0.2183 0.5000
Re1 0.4632 0.4632 0.0000

***

Computed, not measured: a geometry-optimized NaTa3Co structure at the PBE-GGA level of DFT.

Output
E above lowest polymorph in meV/atom: 1672

abc: 4.5857 4.5857 4.5857
angles: 90.00 90.00 90.00
Fractional positions:
Na1 0.0000 0.0000 0.0000
Co1 0.5000 0.5000 0.5000
Ta1 0.0000 0.5000 0.0000
Ta2 0.0000 0.0000 0.5000
Ta3 0.5000 0.0000 0.0000

***

Computed, not measured: a geometry-optimized Pm2Cd9Ag6 structure at the PBE-GGA level of DFT.

abc: 5.7866 5.7866 14.2881
angles: 90.00 90.00 120.00
Fractional positions:
Pm1 0.0000 0.0000 0.6443
Pm2 0.0000 0.0000 0.3557
Cd1 0.5000 0.0000 0.8346
Cd2 0.0000 0.5000 0.8346
Cd3 0.5000 0.5000 0.8346
Cd4 0.5000 0.0000 0.1654
Cd5 0.0000 0.5000 0.1654
Cd6 0.5000 0.5000 0.1654
Cd7 0.5000 0.0000 0.5000
Cd8 0.0000 0.5000 0.5000
Cd9 0.5000 0.5000 0.5000
Ag1 0.3333 0.6667 0.0000
Ag2 0.6667 0.3333 0.0000
Ag3 0.3333 0.6667 0.6688
Ag4 0.6667 0.3333 0.6688
Ag5 0.6667 0.3333 0.3312
Ag6 0.3333 0.6667 0.3312

***

Computed, not measured: a geometry-optimized Cr2HgBr structure at the PBE-GGA level of DFT.

Output
E above lowest polymorph in meV/atom: 407
Energy relative to the elements, uncorrected in kJ/mol of formula units: 258

abc: 4.7939 4.7939 9.4330
angles: 75.28 75.28 90.00
Fractional positions:
Cr1 0.6125 0.1250 0.2500
Cr2 0.1375 0.6250 0.2500
Cr3 0.3750 0.3875 0.7500
Cr4 0.8750 0.8625 0.7500
Hg1 0.0000 0.0000 0.0000
Hg2 0.7500 0.2500 0.5000
Br1 0.5000 0.5000 0.0000
Br2 0.2500 0.7500 0.5000

***

Computed, not measured: a geometry-optimized LiSc2C structure at the PBE-GGA level of DFT.

abc: 8.8605 8.8605 8.8605
angles: 21.39 21.39 21.39
Fractional positions:
Sc1 0.8806 0.8806 0.8806
Sc2 0.1194 0.1194 0.1194
C1 0.5000 0.5000 0.5000
Li1 0.0000 0.0000 0.0000

***

Computed, not measured: a geometry-optimized ScZnCrRh2 structure at the PBE-GGA level of DFT.

abc: 4.6094 4.8300 4.6094
angles: 90.00 90.00 90.00
Fractional positions:
Sc1 0.0000 0.0000 0.0000
Cr1 0.0000 0.5000 0.0000
Zn1 0.5000 0.5000 0.5000
Rh1 0.0000 0.0000 0.5000
Rh2 0.5000 0.0000 0.0000

***

Computed, not measured: a geometry-optimized SmDyAu structure at the PBE-GGA level of DFT.

Output
E above lowest polymorph in meV/atom: 23

abc: 4.9605 7.3753 13.5895
angles: 87.32 90.00 90.00
Fractional positions:
Sm1 0.7500 0.5180 0.3761
Sm2 0.2500 0.0043 0.7162
Sm3 0.7500 0.9957 0.2838
Sm4 0.7500 0.6156 0.0811
Sm5 0.2500 0.4820 0.6239
Sm6 0.2500 0.3844 0.9189
Dy1 0.2500 0.9586 0.0870
Dy2 0.2500 0.8606 0.4541
Dy3 0.7500 0.6619 0.7812
Dy4 0.7500 0.1394 0.5459
Dy5 0.2500 0.3381 0.2188
Dy6 0.7500 0.0414 0.9130
Au1 0.2500 0.7815 0.9025
Au2 0.7500 0.2820 0.7427
Au3 0.7500 0.7433 0.5641
Au4 0.7500 0.2185 0.0975
Au5 0.2500 0.2567 0.4359
Au6 0.2500 0.7180 0.2573

***

Computed, not measured: a geometry-optimized KBiRu2O8 structure at the PBE-GGA level of DFT.

Output
Energy relative to the elements, uncorrected in kJ/mol of formula units: -1104

abc: 5.4216 5.4216 9.1038
angles: 72.68 72.68 60.00
Fractional positions:
K1 0.0000 0.0000 0.0000
Bi1 0.5000 0.5000 0.5000
Ru1 0.7495 0.7495 0.7516
Ru2 0.2505 0.2505 0.2484
O1 0.6811 0.6811 0.9566
O2 0.3189 0.3189 0.0434
O3 0.5305 0.2351 0.3257
O4 0.7649 0.4695 0.6743
O5 0.0913 0.7649 0.6743
O6 0.2351 0.9087 0.3257
O7 0.9087 0.5305 0.3257
O8 0.4695 0.0913 0.6743

***

Computed, not measured: a geometry-optimized CuTeRh2 structure at the PBE-GGA level of DFT.

Output
Energy relative to the elements, uncorrected in kJ/mol of formula units: 69

abc: 4.4393 3.0274 4.8280
angles: 88.04 90.00 90.00
Fractional positions:
Cu1 0.5000 0.7500 0.7500
Rh1 0.0000 0.0129 0.9926
Rh2 0.0000 0.4871 0.5074
Te1 0.5000 0.2500 0.2500

***

Computed, not measured: a geometry-optimized Tb2HPt structure at the PBE-GGA level of DFT.

Output
E above lowest polymorph in meV/atom: 827

abc: 3.2963 3.2963 8.5426
angles: 78.88 78.88 60.00
Fractional positions:
H1 0.5000 0.5000 0.5000
Tb1 0.1064 0.1064 0.6807
Tb2 0.8936 0.8936 0.3193
Pt1 0.0000 0.0000 0.0000

***

Computed, not measured: a geometry-optimized IrPd2Pt6 structure at the PBE-GGA level of DFT.

abc: 2.7837 7.4277 8.3867
angles: 124.66 90.00 100.80
Fractional positions:
Ir1 0.0000 0.0000 0.5000
Pd1 0.6655 0.3311 0.8309
Pd2 0.3344 0.6689 0.1691
Pt1 0.3329 0.6658 0.8334
Pt2 0.6671 0.3342 0.1666
Pt3 0.9987 0.9974 0.1666
Pt4 0.6640 0.3280 0.5002
Pt5 0.0013 0.0026 0.8334
Pt6 0.3360 0.6720 0.4998

***

Computed, not measured: a geometry-optimized AcCu4BiP2 structure at the PBE-GGA level of DFT.

abc: 3.9047 3.9047 10.0068
angles: 90.00 90.00 90.00
Fractional positions:
Ac1 0.0000 0.0000 0.5000
Cu1 0.0000 0.5000 0.2095
Cu2 0.5000 0.0000 0.7905
Cu3 0.5000 0.0000 0.2095
Cu4 0.0000 0.5000 0.7905
Bi1 0.0000 0.0000 0.0000
P1 0.5000 0.5000 0.3317
P2 0.5000 0.5000 0.6683

***

Computed, not measured: a geometry-optimized PmSm5Dy6 structure at the PBE-GGA level of DFT.

abc: 5.0741 10.1206 9.4877
angles: 122.23 105.51 90.00
Fractional positions:
Dy1 0.8333 0.5831 0.6665
Dy2 0.8333 0.0835 0.6665
Dy3 0.5000 0.7496 0.0000
Dy4 0.5000 0.2504 0.0000
Dy5 0.1667 0.9165 0.3335
Dy6 0.1667 0.4169 0.3335
Sm1 0.6668 0.1668 0.3336
Sm2 0.3333 0.3333 0.6665
Sm3 0.0000 0.5000 0.0000
Sm4 0.6667 0.6667 0.3335
Sm5 0.3332 0.8332 0.6664
Pm1 0.0000 0.0000 0.0000

***

Computed, not measured: a geometry-optimized Rb5Hf2O6 structure at the PBE-GGA level of DFT.

Output
Energy relative to the elements, uncorrected in kJ/mol of formula units: -2696

abc: 7.0447 7.0447 15.0941
angles: 84.82 84.82 70.23
Fractional positions:
Rb1 0.6959 0.2197 0.9775
Rb2 0.7803 0.3041 0.5225
Rb3 0.3041 0.7803 0.0225
Rb4 0.2197 0.6959 0.4775
Rb5 0.8111 0.8882 0.7031
Rb6 0.1118 0.1889 0.7969
Rb7 0.1889 0.1118 0.2969
Rb8 0.8882 0.8111 0.2031
Rb9 0.4308 0.5692 0.7500
Rb10 0.5692 0.4308 0.2500
Hf1 0.3524 0.1017 0.5762
Hf2 0.8983 0.6476 0.9238
Hf3 0.6476 0.8983 0.4238
Hf4 0.1017 0.3524 0.0762
O1 0.1090 0.0423 0.6161
O2 0.9577 0.8910 0.8839
O3 0.8910 0.9577 0.3839
O4 0.0423 0.1090 0.1161
O5 0.4450 0.2366 0.6601
O6 0.7634 0.5550 0.8399
O7 0.5550 0.7634 0.3399
O8 0.2366 0.4450 0.1601
O9 0.5765 0.8329 0.5564
O10 0.1671 0.4235 0.9436
O11 0.4235 0.1671 0.4436
O12 0.8329 0.5765 0.0564

***

Computed, not measured: a geometry-optimized TaBr3Cl structure at the PBE-GGA level of DFT.

Output
E above lowest polymorph in meV/atom: 130
Energy relative to the elements, uncorrected in kJ/mol of formula units: -395

abc: 8.8839 8.8839 8.9792
angles: 60.35 60.35 60.00
Fractional positions:
Ta1 0.1249 0.1249 0.6252
Ta2 0.8751 0.8751 0.3748
Br1 0.2361 0.2368 0.7358
Br2 0.7913 0.2361 0.7358
Br3 0.7632 0.2087 0.2642
Br4 0.2087 0.7639 0.2642
Br5 0.7639 0.7632 0.2642
Br6 0.2368 0.7913 0.7358
Cl1 0.2277 0.2277 0.3168
Cl2 0.7723 0.7723 0.6832

***

Computed, not measured: a geometry-optimized SrTbDy2Se4 structure at the PBE-GGA level of DFT.

Output
Energy relative to the elements, uncorrected in kJ/mol of formula units: -1391

abc: 4.1334 7.2101 7.2114
angles: 70.93 90.00 90.00
Fractional positions:
Sr1 0.5000 0.5000 0.0000
Tb1 0.0000 0.5000 0.5000
Dy1 0.0000 0.0000 0.0000
Dy2 0.5000 0.0000 0.5000
Se1 0.0000 0.7624 0.7389
Se2 0.0000 0.2376 0.2611
Se3 0.5000 0.7567 0.2540
Se4 0.5000 0.2433 0.7460

***

Computed, not measured: a geometry-optimized HoPu2Zn2Sn2 structure at the PBE-GGA level of DFT.

abc: 4.6390 4.6390 9.2855
angles: 75.53 75.53 60.00
Fractional positions:
Ho1 0.0000 0.0000 0.0000
Pu1 0.1434 0.1434 0.5698
Pu2 0.8566 0.8566 0.4302
Zn1 0.5751 0.5751 0.2747
Zn2 0.4249 0.4249 0.7253
Sn1 0.7319 0.7319 0.8043
Sn2 0.2681 0.2681 0.1957

***

Computed, not measured: a geometry-optimized La3Ce2Y6Ho structure at the PBE-GGA level of DFT.

abc: 6.2506 6.2506 11.8714
angles: 95.03 95.03 120.00
Fractional positions:
La1 0.1656 0.8344 0.5000
La2 0.8344 0.1656 0.5000
La3 0.5000 0.5000 0.5000
Ce1 0.3337 0.6663 0.0000
Ce2 0.6663 0.3337 0.0000
Y1 0.9186 0.5836 0.7562
Y2 0.7463 0.7463 0.2438
Y3 0.0814 0.4164 0.2438
Y4 0.5836 0.9186 0.7562
Y5 0.2537 0.2537 0.7562
Y6 0.4164 0.0814 0.2438
Ho1 0.0000 0.0000 0.0000

***

Computed, not measured: a geometry-optimized Pr3Er2In7 structure at the PBE-GGA level of DFT.

abc: 4.9448 4.8724 15.0138
angles: 99.34 90.00 90.00
Fractional positions:
Pr1 0.5000 0.5000 0.0000
Pr2 0.5000 0.6528 0.3056
Pr3 0.5000 0.3472 0.6944
Er1 0.0000 0.8445 0.6890
Er2 0.0000 0.1555 0.3110
In1 0.0000 0.4212 0.8425
In2 0.0000 0.7271 0.4541
In3 0.0000 0.0000 0.0000
In4 0.0000 0.5788 0.1575
In5 0.5000 0.0796 0.1593
In6 0.5000 0.9204 0.8407
In7 0.0000 0.2729 0.5459

***

| no. | E (eV/atom) | DOS(E_F) (states/eV per atom) |
| --- | --- | --- |
| 1 | -5.204 | 2.09 |
| 2 | -6.376 | 0.64 |
| 3 | -6.145 | 1.94 |
| 4 | -2.125 | 0.43 |
| 5 | -4.636 | 0.60 |
| 6 | -6.181 | 0.94 |
| 7 | -5.418 | 0.45 |
| 8 | -4.788 | 0.92 |
| 9 | -6.220 | 0.36 |
| 10 | -5.307 | 0.85 |
| 11 | -4.732 | 0.85 |
| 12 | -6.152 | 2.05 |
| 13 | -4.760 | 0.32 |
| 14 | -4.646 | 1.38 |
| 15 | -6.342 | 0.14 |
| 16 | -4.563 | 1.32 |
| 17 | -5.484 | 0.36 |
| 18 | -6.480 | 2.07 |
| 19 | -5.789 | 1.74 |
| 20 | -3.801 | 0.91 |